Entry from Alexandria via LeMat-Bulk: an optimized crystal structure of AgHgSb2 (PBE).

Cell lengths 10.5619, 10.5619, 10.5619 Å; angles 18.45, 18.45, 18.45 degrees
Atoms (fractional coordinates):
1 Ag 0.0000 0.0000 0.0000
2 Hg 0.5000 0.5000 0.5000
3 Sb 0.2615 0.2615 0.2615
4 Sb 0.7385 0.7385 0.7385

Results
DOS at the Fermi energy = 0.60 states/eV/atom
Formation energy from raw total energies = 202.6 meV per atom
Total energy = -2.647 eV per atom
Size of the total moment = 0.000 μB per atom
Space-group type = R-3m, No. 166

Entry from Alexandria via LeMat-Bulk: an optimized crystal structure of AgHgSb2 (PBE).

Cell lengths 3.0626, 4.0537, 8.3743 Å; angles 90.00, 94.67, 90.00 degrees
Atoms (fractional coordinates):
1 Ag 0.0000 0.0000 0.0000
2 Hg 0.5000 0.0000 0.5000
3 Sb 0.4702 0.5000 0.7873
4 Sb 0.5298 0.5000 0.2127

Results
DOS at the Fermi energy = 0.22 states/eV/atom
Formation energy from raw total energies = 118.7 meV per atom
Total energy = -2.731 eV per atom
Size of the total moment = 0.000 μB per atom
Space-group type = P2/m, No. 10

Entry from Alexandria via LeMat-Bulk: an optimized crystal structure of Ag2HgSb (PBE).

Cell lengths 10.1179, 10.1179, 10.1179 Å; angles 154.86, 154.86, 35.85 degrees
Atoms (fractional coordinates):
1 Ag 0.1177 0.6250 0.9927
2 Ag 0.3750 0.3677 0.4927
3 Ag 0.6323 0.1250 0.0073
4 Ag 0.8750 0.8823 0.5073
5 Hg 0.2500 0.7500 0.5000
6 Hg 0.5000 0.5000 0.0000
7 Sb 0.0000 0.0000 0.0000
8 Sb 0.7500 0.2500 0.5000

Results
DOS at the Fermi energy = 0.45 states/eV/atom
Formation energy from raw total energies = 164.5 meV per atom
Total energy = -2.367 eV per atom
Size of the total moment = 0.000 μB per atom
Space-group type = I-42d, No. 122

Entry from Alexandria via LeMat-Bulk: an optimized crystal structure of AgHgSb (PBE).

Cell lengths 4.4169, 4.4169, 4.4341 Å; angles 90.00, 90.00, 120.00 degrees
Atoms (fractional coordinates):
1 Ag 0.0000 0.0000 0.0000
2 Hg 0.3333 0.6667 0.3214
3 Sb 0.6667 0.3333 0.7136

Results
DOS at the Fermi energy = 0.61 states/eV/atom
Formation energy from raw total energies = 184.7 meV per atom
Total energy = -2.240 eV per atom
Size of the total moment = 0.000 μB per atom
Space-group type = P3m1, No. 156

Entry from Alexandria via LeMat-Bulk: an optimized crystal structure of Ag3Hg12Sb5 (PBE).

Cell lengths 14.5470, 14.5470, 14.5470 Å; angles 109.47, 109.47, 109.47 degrees
Atoms (fractional coordinates):
1 Ag 0.1250 0.2500 0.3750
2 Ag 0.1250 0.3750 0.7500
3 Ag 0.2500 0.3750 0.1250
4 Ag 0.2500 0.8750 0.6250
5 Ag 0.3750 0.1250 0.2500
6 Ag 0.3750 0.7500 0.1250
7 Ag 0.6250 0.2500 0.8750
8 Ag 0.6250 0.8750 0.7500
9 Ag 0.7500 0.1250 0.3750
10 Ag 0.7500 0.6250 0.8750
11 Ag 0.8750 0.6250 0.2500
12 Ag 0.8750 0.7500 0.6250
13 Hg 0.0672 0.2376 0.1383
14 Hg 0.0672 0.3296 0.9290
15 Hg 0.0710 0.6383 0.4007
16 Hg 0.0710 0.9328 0.6704
17 Hg 0.0993 0.7376 0.6704
18 Hg 0.0993 0.8617 0.4290
19 Hg 0.1383 0.0672 0.2376
20 Hg 0.1383 0.5710 0.9007
21 Hg 0.1704 0.2376 0.5993
22 Hg 0.1704 0.4328 0.5710
23 Hg 0.2376 0.1383 0.0672
24 Hg 0.2376 0.5993 0.1704
25 Hg 0.2624 0.3296 0.9007
26 Hg 0.2624 0.4328 0.3617
27 Hg 0.3296 0.9007 0.2624
28 Hg 0.3296 0.9290 0.0672
29 Hg 0.3617 0.2624 0.4328
30 Hg 0.3617 0.5993 0.9290
31 Hg 0.4007 0.0710 0.6383
32 Hg 0.4007 0.8296 0.7624
33 Hg 0.4290 0.0993 0.8617
34 Hg 0.4290 0.8296 0.5672
35 Hg 0.4328 0.3617 0.2624
36 Hg 0.4328 0.5710 0.1704
37 Hg 0.5672 0.4290 0.8296
38 Hg 0.5672 0.6383 0.7376
39 Hg 0.5710 0.1704 0.4328
40 Hg 0.5710 0.9007 0.1383
41 Hg 0.5993 0.1704 0.2376
42 Hg 0.5993 0.9290 0.3617
43 Hg 0.6383 0.4007 0.0710
44 Hg 0.6383 0.7376 0.5672
45 Hg 0.6704 0.0710 0.9328
46 Hg 0.6704 0.0993 0.7376
47 Hg 0.7376 0.5672 0.6383
48 Hg 0.7376 0.6704 0.0993
49 Hg 0.7624 0.4007 0.8296
50 Hg 0.7624 0.8617 0.9328
51 Hg 0.8296 0.5672 0.4290
52 Hg 0.8296 0.7624 0.4007
53 Hg 0.8617 0.4290 0.0993
54 Hg 0.8617 0.9328 0.7624
55 Hg 0.9007 0.1383 0.5710
56 Hg 0.9007 0.2624 0.3296
57 Hg 0.9290 0.0672 0.3296
58 Hg 0.9290 0.3617 0.5993
59 Hg 0.9328 0.6704 0.0710
60 Hg 0.9328 0.7624 0.8617
61 Sb 0.0000 0.0000 0.0000
62 Sb 0.0000 0.0000 0.5000
63 Sb 0.0000 0.5000 0.0000
64 Sb 0.0000 0.5000 0.5000
65 Sb 0.1250 0.7500 0.8750
66 Sb 0.1250 0.8750 0.2500
67 Sb 0.2500 0.1250 0.8750
68 Sb 0.2500 0.6250 0.3750
69 Sb 0.3750 0.2500 0.6250
70 Sb 0.3750 0.6250 0.7500
71 Sb 0.5000 0.0000 0.0000
72 Sb 0.5000 0.0000 0.5000
73 Sb 0.5000 0.5000 0.0000
74 Sb 0.5000 0.5000 0.5000
75 Sb 0.6250 0.3750 0.2500
76 Sb 0.6250 0.7500 0.3750
77 Sb 0.7500 0.3750 0.6250
78 Sb 0.7500 0.8750 0.1250
79 Sb 0.8750 0.1250 0.7500
80 Sb 0.8750 0.2500 0.1250

Results
DOS at the Fermi energy = 0.66 states/eV/atom
Formation energy from raw total energies = 193.0 meV per atom
Total energy = -1.446 eV per atom
Size of the total moment = 0.000 μB per atom
Space-group type = Ia-3d, No. 230

Entry from Alexandria via LeMat-Bulk: an optimized crystal structure of Ag2HgSb (PBE).

Cell lengths 3.2084, 3.2084, 8.4413 Å; angles 90.00, 90.00, 90.09 degrees
Atoms (fractional coordinates):
1 Ag 0.0000 0.0000 0.2421
2 Ag 0.0000 0.0000 0.7579
3 Hg 0.5000 0.5000 0.0000
4 Sb 0.5000 0.5000 0.5000

Results
DOS at the Fermi energy = 0.22 states/eV/atom
Formation energy from raw total energies = 122.5 meV per atom
Total energy = -2.409 eV per atom
Size of the total moment = 0.000 μB per atom
Space-group type = Cmmm, No. 65